Below is an optimized crystal structure of LaCuSe2, with properties calculated at the PBEsol level.

The space group is Cm (No. 8) and the conventional cell measures 11.0256, 3.9926 and 4.4150 Å, with angles of 90.00, 90.75 and 90.00 degrees. The inequivalent atoms are La at (0.0000, 0.0000, 0.0000), Cu at (0.2709, 0.0000, 0.7664), Se at (0.2106, 0.5000, 0.9965) and Se at (0.4497, 0.0000, 0.4968).

Its uncorrected formation energy is -1.201 eV/atom. For the magnetic moment, the calculation gives 0.000 μB/atom.